Computed, not measured: crystalline Ce8TlBi5 at its relaxed geometry at the GGA-PBE level of DFT.

Calculated values
The value obtained for the total energy is -0.203 Ha/atom.

a = 8.3671 Å, b = 8.3671 Å, c = 8.3671 Å
α = 109.60°, β = 109.22°, γ = 109.60°
Site moments in Bohr magnetons follow the coordinates.
Atoms (fractional coordinates):
Ce 0.1263 0.7480 0.0219  1.10
Ce 0.9781 0.1043 0.7261  1.10
Ce 0.7768 0.2498 0.3767  1.11
Ce 0.6233 0.4000 0.8730  1.11
Ce 0.4730 0.6000 0.2232  1.11
Ce 0.6218 0.8957 0.8737  1.10
Ce 0.2739 0.2520 0.3782  1.10
Ce 0.1270 0.7502 0.5270  1.11
Tl 0.2500 0.5000 0.7500  -0.03
Bi 0.9976 0.3740 0.1244  -0.06
Bi 0.8756 0.8732 0.2496  -0.06
Bi 0.7504 0.6260 0.6236  -0.06
Bi 0.5000 0.0000 0.5000  -0.06
Bi 0.3764 0.1268 0.0024  -0.06

Computed, not measured: crystalline Ce6Tl5Bi at its relaxed geometry at the GGA-PBE level of DFT.

Calculated values
The value obtained for the total energy is -0.168 Ha/atom.

a = 5.0148 Å, b = 9.1732 Å, c = 9.1732 Å
α = 110.40°, β = 105.86°, γ = 105.86°
Site moments in Bohr magnetons follow the coordinates.
Atoms (fractional coordinates):
Tl 0.5000 0.1746 0.8254  0.00
Tl 0.0000 0.3344 0.6656  -0.01
Tl 0.5000 0.5000 0.5000  0.00
Tl 0.0000 0.6656 0.3344  -0.01
Tl 0.5000 0.8254 0.1746  0.00
Bi 0.0000 0.0000 0.0000  -0.04
Ce 0.2485 0.0823 0.4146  0.97
Ce 0.7515 0.5854 0.9177  0.97
Ce 0.7475 0.2475 0.2475  1.02
Ce 0.2525 0.7525 0.7525  1.02
Ce 0.2485 0.4146 0.0823  0.97
Ce 0.7515 0.9177 0.5854  0.97

Computed, not measured: crystalline Ce6Tl5Bi at its relaxed geometry at the GGA-PBE level of DFT.

Calculated values
The value obtained for the total energy is -0.168 Ha/atom.

a = 10.4442 Å, b = 5.0253 Å, c = 7.9365 Å
α = 72.05°, β = 81.47°, γ = 61.23°
Site moments in Bohr magnetons follow the coordinates.
Atoms (fractional coordinates):
Ce 0.7490 0.0846 0.3322  0.95
Ce 0.2510 0.5826 0.3322  0.95
Ce 0.2480 0.2521 0.0000  1.01
Ce 0.7520 0.7479 0.0000  1.01
Ce 0.7490 0.4174 0.6678  0.95
Ce 0.2510 0.9154 0.6678  0.95
Tl 0.5000 0.1665 0.6674  0.00
Tl 0.0000 0.3253 0.3475  -0.01
Tl 0.5000 0.5000 0.0000  -0.01
Tl 0.0000 0.6747 0.6525  -0.01
Tl 0.5000 0.8335 0.3326  0.00
Bi 0.0000 0.0000 0.0000  -0.04

Computed, not measured: crystalline Ce3Tl2Bi at its relaxed geometry at the GGA-PBE level of DFT.

Calculated values
The value obtained for the total energy is -0.175 Ha/atom.

a = 5.5552 Å, b = 5.5552 Å, c = 6.7490 Å
α = 90.00°, β = 90.00°, γ = 120.00°
Site moments in Bohr magnetons follow the coordinates.
Atoms (fractional coordinates):
Ce 0.0000 0.0000 0.5000  0.99
Ce 0.6667 0.3333 0.8673  1.11
Ce 0.3333 0.6667 0.1327  1.11
Tl 0.6667 0.3333 0.3657  0.03
Tl 0.3333 0.6667 0.6343  0.03
Bi 0.0000 0.0000 0.0000  -0.03

Computed, not measured: crystalline CeTl2Bi at its relaxed geometry at the GGA-PBE level of DFT.

Calculated values
The value obtained for the total energy is -0.129 Ha/atom.

a = 3.4765 Å, b = 3.4765 Å, c = 12.3833 Å
α = 81.93°, β = 81.93°, γ = 60.00°
Site moments in Bohr magnetons follow the coordinates.
Atoms (fractional coordinates):
Tl 0.0888 0.0888 0.7336  0.00
Tl 0.9112 0.9112 0.2664  0.00
Bi 0.5000 0.5000 0.5000  0.00
Ce 0.0000 0.0000 0.0000  1.00

Computed, not measured: crystalline Ce6TlBi at its relaxed geometry at the GGA-PBE level of DFT.

Calculated values
Its energy above the lowest structure with this stoichiometry is 0.00 eV/f.u.

a = 4.8301 Å, b = 4.8301 Å, c = 9.6111 Å
α = 90.00°, β = 90.00°, γ = 90.00°
Site moments in Bohr magnetons follow the coordinates.
Atoms (fractional coordinates):
Ce 0.5000 0.5000 0.0000  0.72
Ce 0.5000 0.5000 0.5000  0.80
Ce 0.5000 0.0000 0.2496  0.76
Ce 0.5000 0.0000 0.7504  0.76
Ce 0.0000 0.5000 0.2496  0.76
Ce 0.0000 0.5000 0.7504  0.76
Tl 0.0000 0.0000 0.5000  -0.01
Bi 0.0000 0.0000 0.0000  -0.02

Computed, not measured: crystalline CeTm3Bi4 at its relaxed geometry at the GGA-PBE level of DFT.

Calculated values
The value obtained for the total energy is -0.189 Ha/atom.

a = 7.7584 Å, b = 7.7471 Å, c = 8.9599 Å
α = 90.00°, β = 90.00°, γ = 109.48°
Site moments in Bohr magnetons follow the coordinates.
Atoms (fractional coordinates):
Tm 0.7500 0.0000 0.3757  0.00
Tm 0.2500 0.0000 0.6243  0.00
Tm 0.7500 0.5000 0.6244  -0.01
Tm 0.7500 0.5000 0.1269  -0.01
Tm 0.2500 0.5000 0.3756  -0.01
Tm 0.2500 0.5000 0.8731  -0.01
Bi 0.0034 0.2533 0.6210  -0.01
Bi 0.4999 0.2566 0.8719  -0.02
Bi 0.5034 0.2533 0.3790  -0.01
Bi 0.9999 0.2566 0.1281  -0.02
Bi 0.0001 0.7434 0.8719  -0.02
Bi 0.4966 0.7467 0.6210  -0.01
Bi 0.5001 0.7434 0.1281  -0.02
Bi 0.9966 0.7467 0.3790  -0.01
Ce 0.7500 0.0000 0.8733  0.79
Ce 0.2500 0.0000 0.1267  0.79

Computed, not measured: crystalline CeTmBi at its relaxed geometry at the GGA-PBE level of DFT.

Calculated values
The value obtained for the total energy is -0.188 Ha/atom.

a = 4.0608 Å, b = 4.0608 Å, c = 6.1432 Å
α = 109.30°, β = 109.30°, γ = 90.00°
Site moments in Bohr magnetons follow the coordinates.
Atoms (fractional coordinates):
Tm 0.9663 0.9663 0.9326  0.20
Bi 0.6090 0.6090 0.2179  -0.01
Ce 0.2747 0.2747 0.5495  0.85

The following density values (in Mg/m³) correspond, in order, to the records above: 8.73, 9.91, 9.90, 9.56, 9.84, 9.29, 9.70, 9.61.
The following Fermi-level density of states values (in states/eV per cell) correspond, in order, to the records above: 54.4, 38.8, 39.7, 21.9, 6.3, 23.7, 13.9, 7.9.